The following is a GGA-PBE calculation of a geometry-optimized PmSiO4 structure, from the Alexandria database.

Summary:
Space group = Pmna, No. 53
Energy relative to the elements, uncorrected = -2.499 eV/atom
Volume = 10.84 A^3/atom

```
PmSiO4
1.0
4.6647 0.0000 0.0000
0.0000 5.1455 0.0000
0.0000 0.0000 5.4180
Pm Si O
2 2 8
Direct
0.0000 0.0000 0.0000
0.5000 0.0000 0.5000
0.0000 0.5000 0.5000
0.5000 0.5000 0.0000
0.0000 0.1996 0.3770
0.0000 0.8004 0.6230
0.2500 0.3715 0.7500
0.2500 0.6285 0.2500
0.5000 0.1996 0.1230
0.5000 0.8004 0.8770
0.7500 0.3715 0.7500
0.7500 0.6285 0.2500
```